Record 1
AcNdDy | GGA-PBE | optimized geometry

Cell: 5.7032 5.7032 5.7032 Å, 60.00 60.00 60.00°
With the nearest neighbours (Å) after each atom.
Fractional positions:
Ac 0.2500 0.2500 0.2500  4 Dy 3.49
Dy 0.0000 0.0000 0.0000  4 Nd 3.49, 4 Ac 3.49
Nd 0.7500 0.7500 0.7500  4 Dy 3.49

Results
Its relative energy among the computed polymorphs is 0 meV/atom. The calculation puts the formation energy at 0.65 eV per atom.

***

Record 2
AcDyNi | GGA-PBE | optimized geometry

Cell: 4.9689 4.9689 4.9689 Å, 60.00 60.00 60.00°
With the nearest neighbours (Å) after each atom.
Fractional positions:
Ac 0.2500 0.2500 0.2500  4 Ni 3.04
Dy 0.7500 0.7500 0.7500  4 Ni 3.04
Ni 0.0000 0.0000 0.0000  4 Ac 3.04, 4 Dy 3.04

Results
Its relative energy among the computed polymorphs is 0 meV/atom. The calculation puts the formation energy at -0.02 eV per atom.

***

Record 3
AcDyPb | GGA-PBE | optimized geometry

Cell: 5.4448 5.4448 5.4448 Å, 60.00 60.00 60.00°
With the nearest neighbours (Å) after each atom.
Fractional positions:
Ac 0.2500 0.2500 0.2500  4 Pb 3.33
Dy 0.7500 0.7500 0.7500  4 Pb 3.33
Pb 0.0000 0.0000 0.0000  4 Dy 3.33, 4 Ac 3.33

Results
Its relative energy among the computed polymorphs is 0 meV/atom.

***

Record 4
AcDyPb | GGA-PBE | optimized geometry

Cell: 5.5843 5.5843 5.5843 Å, 60.00 60.00 60.00°
With the nearest neighbours (Å) after each atom.
Fractional positions:
Ac 0.0000 0.0000 0.0000  4 Pb 3.42, 4 Dy 3.42
Dy 0.2500 0.2500 0.2500  4 Ac 3.42
Pb 0.7500 0.7500 0.7500  4 Ac 3.42

Results
Its relative energy among the computed polymorphs is 584 meV/atom.

***

Record 5
AcDyPd | GGA-PBE | optimized geometry

Cell: 5.1146 5.1146 5.1146 Å, 60.00 60.00 60.00°
With the nearest neighbours (Å) after each atom.
Fractional positions:
Ac 0.2500 0.2500 0.2500  4 Pd 3.13
Dy 0.7500 0.7500 0.7500  4 Pd 3.13
Pd 0.0000 0.0000 0.0000  4 Dy 3.13, 4 Ac 3.13

Results
Its relative energy among the computed polymorphs is 0 meV/atom. The calculation puts the formation energy at -0.37 eV per atom.

***

Record 6
AcPrDy | GGA-PBE | optimized geometry

Cell: 5.7087 5.7087 5.7087 Å, 60.00 60.00 60.00°
With the nearest neighbours (Å) after each atom.
Fractional positions:
Ac 0.2500 0.2500 0.2500  4 Dy 3.50
Dy 0.0000 0.0000 0.0000  4 Ac 3.50, 4 Pr 3.50
Pr 0.7500 0.7500 0.7500  4 Dy 3.50

Results
Its relative energy among the computed polymorphs is 0 meV/atom. The calculation puts the formation energy at 0.64 eV per atom.

***

Record 7
AcDyPt | GGA-PBE | optimized geometry

Cell: 4.9327 4.9327 4.9327 Å, 60.00 60.00 60.00°
With the nearest neighbours (Å) after each atom.
Fractional positions:
Ac 0.2500 0.2500 0.2500  4 Dy 3.02
Dy 0.0000 0.0000 0.0000  4 Pt 3.02, 4 Ac 3.02
Pt 0.7500 0.7500 0.7500  4 Dy 3.02

Results
The calculation puts the formation energy at -0.07 eV per atom.

***

Record 8
AcDyPu | GGA-PBE | optimized geometry

Cell: 5.4627 5.4627 5.4627 Å, 60.00 60.00 60.00°
With the nearest neighbours (Å) after each atom.
Fractional positions:
Ac 0.2500 0.2500 0.2500  4 Pu 3.35
Dy 0.7500 0.7500 0.7500  4 Pu 3.35
Pu 0.0000 0.0000 0.0000  4 Ac 3.35, 4 Dy 3.35

Results
Its relative energy among the computed polymorphs is 0 meV/atom. The calculation puts the formation energy at 0.76 eV per atom.

***

Record 9
AcDyPu | GGA-PBE | optimized geometry

Cell: 5.5059 5.5059 5.5059 Å, 60.00 60.00 60.00°
With the nearest neighbours (Å) after each atom.
Fractional positions:
Ac 0.0000 0.0000 0.0000  4 Pu 3.37, 4 Dy 3.37
Dy 0.2500 0.2500 0.2500  4 Ac 3.37
Pu 0.7500 0.7500 0.7500  4 Ac 3.37

Results
Its relative energy among the computed polymorphs is 142 meV/atom. The calculation puts the formation energy at 0.90 eV per atom.

***

Record 10
AcDy2S4 | GGA-PBE | optimized geometry

Cell: 6.7913 6.7913 13.3618 Å, 90.00 90.00 145.84°
With the nearest neighbours (Å) after each atom.
Fractional positions:
Ac 0.3799 0.6201 0.2500  6 S 2.97-3.03
Ac 0.6201 0.3799 0.7500  6 S 2.97-3.03
Dy 0.1293 0.8707 0.0638  6 S 2.70-2.79
Dy 0.1293 0.8707 0.4362  6 S 2.70-2.79
Dy 0.8707 0.1293 0.5638  6 S 2.70-2.79
Dy 0.8707 0.1293 0.9362  6 S 2.70-2.79
S 0.5000 0.5000 0.0000  4 Dy 2.74
S 0.7695 0.2305 0.1168  3 Dy 2.75-2.79, 2 Ac 3.03
S 0.0492 0.9508 0.2500  2 Dy 2.70, 2 Ac 2.97
S 0.7695 0.2305 0.3832  3 Dy 2.75-2.79, 2 Ac 3.03
S 0.5000 0.5000 0.5000  4 Dy 2.74
S 0.2305 0.7695 0.6168  3 Dy 2.75-2.79, 2 Ac 3.03
S 0.9508 0.0492 0.7500  2 Dy 2.70, 2 Ac 2.97
S 0.2305 0.7695 0.8832  3 Dy 2.75-2.79, 2 Ac 3.03

***

Record 11
AcDySc | GGA-PBE | optimized geometry

Cell: 5.4537 5.4537 5.4537 Å, 60.00 60.00 60.00°
With the nearest neighbours (Å) after each atom.
Fractional positions:
Ac 0.2500 0.2500 0.2500  4 Sc 3.34
Dy 0.7500 0.7500 0.7500  4 Sc 3.34
Sc 0.0000 0.0000 0.0000  4 Ac 3.34, 4 Dy 3.34

Results
Its relative energy among the computed polymorphs is 0 meV/atom. The calculation puts the formation energy at 0.66 eV per atom.

***

Record 12
AcDySc | GGA-PBE | optimized geometry

Cell: 5.4658 5.4658 5.4658 Å, 60.00 60.00 60.00°
With the nearest neighbours (Å) after each atom.
Fractional positions:
Ac 0.0000 0.0000 0.0000  4 Sc 3.35, 4 Dy 3.35
Dy 0.2500 0.2500 0.2500  4 Ac 3.35
Sc 0.7500 0.7500 0.7500  4 Ac 3.35

Results
Its relative energy among the computed polymorphs is 255 meV/atom. The calculation puts the formation energy at 0.91 eV per atom.

***

Record 13
AcDy3Se6 | GGA-PBE | optimized geometry

Cell: 11.6979 4.2112 12.0040 Å, 90.00 109.14 90.00°
With the nearest neighbours (Å) after each atom.
Fractional positions:
Ac 0.9473 0.7500 0.3021  8 Se 3.15-3.26
Ac 0.0527 0.2500 0.6979  8 Se 3.15-3.26
Dy 0.1600 0.2500 0.0892  6 Se 2.78-2.93
Dy 0.5515 0.7500 0.1653  6 Se 2.82-2.92
Dy 0.6779 0.2500 0.4995  7 Se 2.84-3.05
Dy 0.3221 0.7500 0.5005  7 Se 2.84-3.05
Dy 0.4485 0.2500 0.8347  6 Se 2.82-2.92
Dy 0.8400 0.7500 0.9108  6 Se 2.78-2.93
Se 0.3898 0.2500 0.0533  4 Dy 2.86-2.92
Se 0.9158 0.2500 0.0891  3 Dy 2.86-2.93
Se 0.2012 0.7500 0.2494  3 Dy 2.78-2.88
Se 0.7263 0.2500 0.2687  3 Dy 2.91-3.00, 2 Ac 3.26
Se 0.5193 0.7500 0.3878  4 Dy 2.82-3.03
Se 0.1250 0.2500 0.4650  2 Dy 3.05, 3 Ac 3.15-3.18
Se 0.8750 0.7500 0.5350  2 Dy 3.05, 3 Ac 3.15-3.18
Se 0.4807 0.2500 0.6122  4 Dy 2.82-3.03
Se 0.2737 0.7500 0.7313  3 Dy 2.91-3.00, 2 Ac 3.26
Se 0.7988 0.2500 0.7506  3 Dy 2.78-2.88
Se 0.0842 0.7500 0.9109  3 Dy 2.86-2.93
Se 0.6102 0.7500 0.9467  4 Dy 2.86-2.92

***

Record 14
Ac3Sm2Dy | GGA-PBE | optimized geometry

Cell: 7.0062 7.0062 5.9979 Å, 90.00 90.00 120.00°
With the nearest neighbours (Å) after each atom.
Fractional positions:
Ac 0.5000 0.0000 0.0000  4 Ac 3.50, 4 Sm 3.62
Ac 0.0000 0.5000 0.0000  4 Ac 3.50, 4 Sm 3.62
Ac 0.5000 0.5000 0.0000  4 Ac 3.50, 4 Sm 3.62
Dy 0.0000 0.0000 0.5000  6 Sm 4.05
Sm 0.3333 0.6667 0.4998  6 Ac 3.62, 3 Dy 4.05, 3 Sm 4.05
Sm 0.6667 0.3333 0.5002  6 Ac 3.62, 3 Dy 4.05, 3 Sm 4.05

Results
The calculation puts the formation energy at 0.43 eV per atom.

***

Record 15
AcDySn | GGA-PBE | optimized geometry

Cell: 5.3919 5.3919 5.3919 Å, 60.00 60.00 60.00°
With the nearest neighbours (Å) after each atom.
Fractional positions:
Ac 0.0000 0.0000 0.0000  4 Sn 3.30
Dy 0.5000 0.5000 0.5000  4 Sn 3.30
Sn 0.7500 0.7500 0.7500  4 Ac 3.30, 4 Dy 3.30

Results
Its relative energy among the computed polymorphs is 0 meV/atom.

***

Record 16
AcDySn | GGA-PBE | optimized geometry

Cell: 5.5073 5.5073 5.5073 Å, 60.00 60.00 60.00°
With the nearest neighbours (Å) after each atom.
Fractional positions:
Ac 0.0000 0.0000 0.0000  4 Sn 3.37, 4 Dy 3.37
Dy 0.2500 0.2500 0.2500  4 Ac 3.37
Sn 0.7500 0.7500 0.7500  4 Ac 3.37

Results
Its relative energy among the computed polymorphs is 674 meV/atom.

***

Record 17
SrAcDy | GGA-PBE | optimized geometry

Cell: 5.9657 5.9657 5.9657 Å, 60.00 60.00 60.00°
With the nearest neighbours (Å) after each atom.
Fractional positions:
Ac 0.2500 0.2500 0.2500  4 Dy 3.65
Dy 0.0000 0.0000 0.0000  4 Ac 3.65, 4 Sr 3.65
Sr 0.7500 0.7500 0.7500  4 Dy 3.65

Results
Its relative energy among the computed polymorphs is 0 meV/atom.

***

Record 18
AcDyTa | GGA-PBE | optimized geometry

Cell: 5.2111 5.2111 5.2111 Å, 60.00 60.00 60.00°
With the nearest neighbours (Å) after each atom.
Fractional positions:
Ac 0.0000 0.0000 0.0000  4 Ta 3.19, 4 Dy 3.19
Dy 0.2500 0.2500 0.2500  4 Ac 3.19
Ta 0.7500 0.7500 0.7500  4 Ac 3.19

Results
Its relative energy among the computed polymorphs is 201 meV/atom. The calculation puts the formation energy at 1.51 eV per atom.

***

Record 19
AcDyTa | GGA-PBE | optimized geometry

Cell: 5.2160 5.2160 5.2160 Å, 60.00 60.00 60.00°
With the nearest neighbours (Å) after each atom.
Fractional positions:
Ac 0.2500 0.2500 0.2500  4 Dy 3.19
Dy 0.0000 0.0000 0.0000  4 Ta 3.19, 4 Ac 3.19
Ta 0.7500 0.7500 0.7500  4 Dy 3.19

Results
Its relative energy among the computed polymorphs is 0 meV/atom. The calculation puts the formation energy at 1.31 eV per atom.

***

Record 20
AcTbDy | GGA-PBE | optimized geometry

Cell: 5.6341 5.6341 5.6341 Å, 60.00 60.00 60.00°
With the nearest neighbours (Å) after each atom.
Fractional positions:
Ac 0.2500 0.2500 0.2500  4 Dy 3.45
Dy 0.0000 0.0000 0.0000  4 Tb 3.45, 4 Ac 3.45
Tb 0.7500 0.7500 0.7500  4 Dy 3.45

Results
Its relative energy among the computed polymorphs is 0 meV/atom. The calculation puts the formation energy at 0.68 eV per atom.

***

no.,VASP energy (eV per atom)
1,-3.84
2,-4.78
3,-4.30
4,-3.72
5,-5.00
6,-3.85
7,-5.00
8,-6.85
9,-6.71
10,-6.37
11,-4.35
12,-4.10
13,-5.82
14,-3.96
15,-4.57
16,-3.90
17,-2.78
18,-5.34
19,-5.55
20,-3.76